Here is crystalline Dy2FeB4Ir4 at its relaxed geometry from the Open Quantum Materials Database. Energies are from PBE-GGA.

Computed properties:
The value obtained for the uncorrected energy is -7.921 eV/atom. For the total magnetic moment, the calculation gives 0.0 μB/f.u. Its symmetry is Fmmm (69).

Lattice parameters (Å, degrees): 7.387 6.311 5.445 77.47 56.51 46.01
Sites, in units of the cell vectors:
B (0.277, 0.984, 0.016)
B (0.016, 0.723, 0.277)
B (0.984, 0.277, 0.723)
B (0.723, 0.016, 0.984)
Dy (0.638, 0.638, 0.362)
Dy (0.362, 0.362, 0.638)
Fe (0.000, 0.000, 0.000)
Ir (0.500, 0.500, 0.000)
Ir (0.250, 0.250, 0.250)
Ir (0.000, 0.000, 0.500)
Ir (0.750, 0.750, 0.750)